Li2CrO4: optimized geometry, PBE+U.

abc: 5.3082 5.4088 8.0201
angles: 76.98 73.12 60.67
Closest atoms and distances in Å follow each position.
Fractional positions:
Li  0.0492  0.2928  0.1707  4 O 1.96-2.17
Li  0.2643  0.7575  0.4651  4 O 1.98-2.03
Li  0.7357  0.2425  0.5349  4 O 1.98-2.03
Li  0.9508  0.7072  0.8293  4 O 1.96-2.17
Cr  0.2346  0.1381  0.7484  4 O 1.63-1.70
Cr  0.7654  0.8619  0.2516  4 O 1.63-1.70
O  0.0212  0.2757  0.9330  1 Cr 1.65
O  0.0662  0.0158  0.6610  1 Cr 1.70
O  0.2912  0.4035  0.6155  1 Cr 1.68
O  0.4441  0.1209  0.2221  1 Cr 1.63
O  0.5559  0.8791  0.7779  1 Cr 1.63
O  0.7088  0.5965  0.3845  1 Cr 1.68
O  0.9338  0.9842  0.3390  1 Cr 1.70
O  0.9788  0.7243  0.0670  1 Cr 1.65

ΔE to the lowest computed polymorph: 33 meV/atom
symmetry: No. 2
total moment: 0.0 μB per formula unit
total DFT energy (no corrections): -0.225 Ha/atom
Fermi-level density of states: 0.00 states/eV/cell